Entry 1:
This record from the Alexandria database describes a geometry-optimized RbSrP3H6O12 structure. The functional is GGA-PBEsol.

Lattice parameters (Å, degrees): 9.118 8.062 15.190 90.00 90.00 90.00
Fractional coordinates of all 92 atoms:
Rb 0.098 0.250 0.192
Rb 0.402 0.750 0.692
Rb 0.598 0.250 0.308
Rb 0.902 0.750 0.808
Sr 0.090 0.750 0.478
Sr 0.410 0.250 0.978
Sr 0.590 0.750 0.022
Sr 0.910 0.250 0.522
P 0.008 0.250 0.935
P 0.176 0.072 0.806
P 0.176 0.428 0.806
P 0.324 0.572 0.306
P 0.324 0.928 0.306
P 0.492 0.750 0.435
P 0.508 0.250 0.565
P 0.676 0.072 0.694
P 0.676 0.428 0.694
P 0.824 0.572 0.194
P 0.824 0.928 0.194
P 0.992 0.750 0.065
H 0.125 0.008 0.631
H 0.125 0.492 0.631
H 0.139 0.147 0.385
H 0.139 0.353 0.385
H 0.217 0.102 0.557
H 0.217 0.398 0.557
H 0.283 0.602 0.057
H 0.283 0.898 0.057
H 0.361 0.647 0.885
H 0.361 0.853 0.885
H 0.375 0.508 0.131
H 0.375 0.992 0.131
H 0.625 0.008 0.869
H 0.625 0.492 0.869
H 0.639 0.147 0.115
H 0.639 0.353 0.115
H 0.717 0.102 0.943
H 0.717 0.398 0.943
H 0.783 0.602 0.443
H 0.783 0.898 0.443
H 0.861 0.647 0.615
H 0.861 0.853 0.615
H 0.875 0.508 0.369
H 0.875 0.992 0.369
O 0.031 0.095 0.866
O 0.031 0.405 0.866
O 0.079 0.250 0.394
O 0.125 0.036 0.567
O 0.125 0.464 0.567
O 0.128 0.250 0.002
O 0.144 0.555 0.737
O 0.144 0.945 0.737
O 0.150 0.750 0.039
O 0.185 0.250 0.757
O 0.192 0.550 0.364
O 0.192 0.950 0.364
O 0.308 0.050 0.864
O 0.308 0.450 0.864
O 0.315 0.750 0.257
O 0.350 0.250 0.539
O 0.356 0.055 0.237
O 0.356 0.445 0.237
O 0.372 0.750 0.502
O 0.375 0.536 0.067
O 0.375 0.964 0.067
O 0.421 0.750 0.894
O 0.469 0.595 0.366
O 0.469 0.905 0.366
O 0.531 0.095 0.634
O 0.531 0.405 0.634
O 0.579 0.250 0.106
O 0.625 0.036 0.933
O 0.625 0.464 0.933
O 0.628 0.250 0.498
O 0.644 0.555 0.763
O 0.644 0.945 0.763
O 0.650 0.750 0.461
O 0.685 0.250 0.743
O 0.692 0.550 0.136
O 0.692 0.950 0.136
O 0.808 0.050 0.636
O 0.808 0.450 0.636
O 0.815 0.750 0.243
O 0.850 0.250 0.961
O 0.856 0.055 0.263
O 0.856 0.445 0.263
O 0.872 0.750 0.998
O 0.875 0.536 0.433
O 0.875 0.964 0.433
O 0.921 0.750 0.606
O 0.969 0.595 0.134
O 0.969 0.905 0.134

DFT total energy ... -587.97 eV for the cell shown
Symmetry ... Pnma (62)
Magnetic moment ... 0.00 μB/atom

=====

Entry 2:
This record from the Alexandria database describes a geometry-optimized SrPH10S3O5 structure. The functional is GGA-PBEsol.

Lattice parameters (Å, degrees): 8.181 8.996 12.533 91.37 99.17 91.74
Fractional coordinates of all 80 atoms:
Sr 0.006 0.001 0.327
Sr 0.463 0.482 0.818
Sr 0.537 0.518 0.182
Sr 0.994 0.999 0.673
P 0.108 0.924 0.009
P 0.456 0.616 0.499
P 0.544 0.384 0.501
P 0.892 0.076 0.991
H 0.024 0.755 0.493
H 0.052 0.278 0.183
H 0.070 0.261 0.833
H 0.086 0.600 0.718
H 0.102 0.354 0.730
H 0.168 0.629 0.156
H 0.169 0.320 0.294
H 0.171 0.219 0.534
H 0.184 0.536 0.627
H 0.215 0.579 0.982
H 0.222 0.593 0.280
H 0.288 0.961 0.550
H 0.292 0.419 0.013
H 0.341 0.856 0.647
H 0.357 0.189 0.113
H 0.373 0.082 0.405
H 0.375 0.142 0.881
H 0.389 0.906 0.399
H 0.434 0.840 0.124
H 0.460 0.247 0.023
H 0.540 0.753 0.977
H 0.566 0.160 0.876
H 0.611 0.094 0.601
H 0.625 0.858 0.119
H 0.627 0.918 0.595
H 0.643 0.811 0.887
H 0.659 0.144 0.353
H 0.708 0.581 0.987
H 0.712 0.039 0.450
H 0.778 0.407 0.720
H 0.785 0.421 0.018
H 0.816 0.464 0.373
H 0.829 0.781 0.466
H 0.831 0.680 0.706
H 0.832 0.371 0.844
H 0.898 0.646 0.270
H 0.914 0.400 0.282
H 0.930 0.739 0.167
H 0.948 0.722 0.817
H 0.976 0.245 0.507
S 0.003 0.714 0.004
S 0.207 0.590 0.461
S 0.230 0.945 0.883
S 0.243 0.980 0.155
S 0.437 0.274 0.613
S 0.459 0.297 0.350
S 0.541 0.703 0.650
S 0.563 0.726 0.387
S 0.757 0.020 0.845
S 0.770 0.055 0.117
S 0.793 0.410 0.539
S 0.997 0.286 0.996
O 0.057 0.279 0.263
O 0.061 0.168 0.510
O 0.080 0.251 0.755
O 0.171 0.525 0.705
O 0.242 0.568 0.206
O 0.263 0.936 0.623
O 0.313 0.516 0.979
O 0.315 0.986 0.417
O 0.415 0.280 0.090
O 0.469 0.218 0.890
O 0.531 0.782 0.110
O 0.585 0.720 0.910
O 0.685 0.014 0.583
O 0.687 0.484 0.021
O 0.737 0.064 0.377
O 0.758 0.432 0.794
O 0.829 0.475 0.295
O 0.920 0.749 0.245
O 0.939 0.832 0.490
O 0.943 0.721 0.737

DFT total energy ... -406.32 eV for the cell shown
Symmetry ... P-1 (2)
Magnetic moment ... 0.00 μB/atom

=====

Entry 3:
This record from the Alexandria database describes a geometry-optimized Sb2P3H3O9 structure. The functional is GGA-PBEsol.

Lattice parameters (Å, degrees): 7.288 8.404 9.089 67.09 80.02 68.13
Fractional coordinates of all 34 atoms:
Sb 0.002 0.005 0.222
Sb 0.320 0.342 0.910
Sb 0.680 0.658 0.090
Sb 0.998 0.995 0.778
P 0.232 0.718 0.556
P 0.235 0.619 0.131
P 0.451 0.000 0.763
P 0.549 0.000 0.237
P 0.765 0.381 0.869
P 0.768 0.282 0.444
H 0.146 0.526 0.272
H 0.433 0.662 0.505
H 0.488 0.988 0.396
H 0.512 0.012 0.604
H 0.567 0.338 0.495
H 0.854 0.474 0.728
O 0.109 0.768 0.410
O 0.127 0.828 0.082
O 0.190 0.554 0.688
O 0.195 0.886 0.600
O 0.209 0.566 0.994
O 0.221 0.087 0.767
O 0.452 0.561 0.177
O 0.465 0.882 0.194
O 0.478 0.204 0.134
O 0.522 0.796 0.866
O 0.535 0.118 0.806
O 0.548 0.439 0.823
O 0.779 0.913 0.233
O 0.791 0.434 0.006
O 0.805 0.114 0.400
O 0.810 0.446 0.312
O 0.873 0.172 0.918
O 0.891 0.232 0.590

DFT total energy ... -218.40 eV for the cell shown
Symmetry ... P-1 (2)
Magnetic moment ... 0.00 μB/atom

=====

Entry 4:
This record from the Alexandria database describes a geometry-optimized Sb2P4H3O16 structure. The functional is GGA-PBEsol.

Lattice parameters (Å, degrees): 4.820 7.159 8.390 90.77 90.18 103.31
Fractional coordinates of all 25 atoms:
Sb 0.000 0.000 0.000
Sb 0.499 0.504 0.498
P 0.076 0.770 0.663
P 0.384 0.732 0.148
P 0.613 0.267 0.850
P 0.920 0.237 0.332
H 0.341 0.062 0.603
H 0.655 0.945 0.395
H 0.984 0.496 0.993
O 0.127 0.831 0.842
O 0.175 0.583 0.633
O 0.203 0.546 0.086
O 0.212 0.894 0.165
O 0.238 0.274 0.375
O 0.246 0.932 0.558
O 0.356 0.199 0.964
O 0.496 0.281 0.679
O 0.501 0.721 0.320
O 0.645 0.801 0.036
O 0.750 0.076 0.439
O 0.757 0.735 0.623
O 0.792 0.109 0.835
O 0.792 0.457 0.909
O 0.818 0.423 0.359
O 0.873 0.173 0.155

DFT total energy ... -169.50 eV for the cell shown
Symmetry ... P1 (1)
Magnetic moment ... 0.03 μB/atom

=====

Entry 5:
This record from the Alexandria database describes a geometry-optimized SbPHO5 structure. The functional is GGA-PBEsol.

Lattice parameters (Å, degrees): 5.205 5.617 7.654 108.02 106.87 95.52
Fractional coordinates of all 16 atoms:
Sb 0.000 0.000 0.000
Sb 0.500 0.500 0.500
P 0.086 0.397 0.733
P 0.914 0.603 0.267
H 0.437 0.783 0.796
H 0.563 0.217 0.204
O 0.170 0.235 0.858
O 0.192 0.688 0.848
O 0.202 0.323 0.560
O 0.234 0.667 0.357
O 0.406 0.197 0.259
O 0.594 0.803 0.741
O 0.766 0.333 0.643
O 0.798 0.677 0.440
O 0.808 0.312 0.152
O 0.830 0.765 0.142

DFT total energy ... -106.58 eV for the cell shown
Symmetry ... P-1 (2)
Magnetic moment ... 0.00 μB/atom

=====

Entry 6:
This record from the Alexandria database describes a geometry-optimized ScP2H5O9 structure. The functional is GGA-PBEsol.

Lattice parameters (Å, degrees): 5.381 8.575 14.530 90.00 98.32 90.00
Fractional coordinates of all 68 atoms:
Sc 0.232 0.013 0.353
Sc 0.232 0.487 0.853
Sc 0.768 0.513 0.147
Sc 0.768 0.987 0.647
P 0.230 0.183 0.551
P 0.230 0.317 0.051
P 0.298 0.723 0.195
P 0.298 0.777 0.695
P 0.702 0.223 0.305
P 0.702 0.277 0.805
P 0.770 0.683 0.949
P 0.770 0.817 0.449
H 0.201 0.510 0.316
H 0.201 0.990 0.816
H 0.207 0.702 0.038
H 0.207 0.798 0.538
H 0.262 0.132 0.907
H 0.262 0.368 0.407
H 0.339 0.168 0.175
H 0.339 0.332 0.675
H 0.447 0.533 0.399
H 0.447 0.967 0.899
H 0.553 0.033 0.101
H 0.553 0.467 0.601
H 0.661 0.668 0.325
H 0.661 0.832 0.825
H 0.738 0.632 0.593
H 0.738 0.868 0.093
H 0.793 0.202 0.462
H 0.793 0.298 0.962
H 0.799 0.010 0.184
H 0.799 0.490 0.684
O 0.040 0.636 0.936
O 0.040 0.864 0.436
O 0.121 0.588 0.214
O 0.121 0.912 0.714
O 0.235 0.633 0.747
O 0.235 0.867 0.247
O 0.237 0.213 0.446
O 0.237 0.287 0.946
O 0.269 0.726 0.591
O 0.269 0.774 0.091
O 0.275 0.015 0.884
O 0.275 0.485 0.384
O 0.304 0.157 0.102
O 0.304 0.343 0.602
O 0.422 0.059 0.587
O 0.422 0.441 0.087
O 0.425 0.174 0.275
O 0.425 0.326 0.775
O 0.575 0.674 0.225
O 0.575 0.826 0.725
O 0.578 0.559 0.913
O 0.578 0.941 0.413
O 0.696 0.657 0.398
O 0.696 0.843 0.898
O 0.725 0.515 0.616
O 0.725 0.985 0.116
O 0.731 0.226 0.909
O 0.731 0.274 0.409
O 0.763 0.713 0.054
O 0.763 0.787 0.554
O 0.765 0.133 0.753
O 0.765 0.367 0.253
O 0.879 0.088 0.286
O 0.879 0.412 0.786
O 0.960 0.136 0.564
O 0.960 0.364 0.064

DFT total energy ... -460.56 eV for the cell shown
Symmetry ... P2_1/c (14)
Magnetic moment ... 0.00 μB/atom

=====

Entry 7:
This record from the Alexandria database describes a geometry-optimized SnPHO5 structure. The functional is GGA-PBEsol.

Lattice parameters (Å, degrees): 5.301 5.311 7.491 108.34 105.99 99.47
Fractional coordinates of all 16 atoms:
Sn 0.000 0.000 0.000
Sn 0.500 0.500 0.500
P 0.067 0.405 0.737
P 0.933 0.595 0.263
H 0.471 0.839 0.815
H 0.529 0.161 0.185
O 0.152 0.272 0.890
O 0.177 0.728 0.847
O 0.200 0.319 0.577
O 0.246 0.682 0.360
O 0.370 0.158 0.234
O 0.630 0.842 0.766
O 0.754 0.318 0.640
O 0.800 0.681 0.423
O 0.823 0.272 0.153
O 0.848 0.728 0.110

DFT total energy ... -108.45 eV for the cell shown
Symmetry ... P-1 (2)
Magnetic moment ... 0.00 μB/atom

=====

Entry 8:
This record from the Alexandria database describes a geometry-optimized SnP2HO structure. The functional is GGA-PBEsol.

Lattice parameters (Å, degrees): 5.131 5.131 3.871 90.00 90.00 90.00
Fractional coordinates of all 5 atoms:
Sn 0.000 0.000 0.000
P 0.000 0.500 0.000
P 0.500 0.000 0.000
H 0.500 0.500 0.500
O 0.000 0.000 0.500

DFT total energy ... -18.76 eV for the cell shown
Symmetry ... P4/mmm (123)
Magnetic moment ... 0.00 μB/atom

=====

no.,Fermi-level density of states (states/eV/atom)
1,0.0000
2,0.0000
3,0.0000
4,0.1558
5,0.0000
6,0.0000
7,0.0000
8,0.7763